No. 1
The following is a DFT calculation (PBE) of a geometry-optimized PmCdTeO5 structure.

Results
The total energy is -93.2 eV for the cell shown. For the raw formation energy, the calculation gives -1.628 eV/atom. Its space group is C2/c.

Lattice parameters (Å, degrees): 6.318 6.318 8.641 110.14 110.14 93.04
Sites, in units of the cell vectors:
Pm 0.000 0.000 0.000
Pm 0.000 0.000 0.500
Cd 0.306 0.694 0.750
Cd 0.694 0.306 0.250
Te 0.344 0.656 0.250
Te 0.656 0.344 0.750
O 0.076 0.924 0.750
O 0.257 0.733 0.459
O 0.267 0.743 0.041
O 0.312 0.330 0.156
O 0.330 0.312 0.656
O 0.670 0.688 0.344
O 0.688 0.670 0.844
O 0.733 0.257 0.959
O 0.743 0.267 0.541
O 0.924 0.076 0.250


No. 2
The following is a DFT calculation (PBE) of a geometry-optimized Pm2TiCdO6 structure.

Results
The total energy is -75.3 eV for the cell shown. For the raw formation energy, the calculation gives -2.721 eV/atom. Its space group is P4mm.

Lattice parameters (Å, degrees): 5.379 5.379 5.218 90.00 90.00 90.00
Sites, in units of the cell vectors:
Pm 0.000 0.500 0.000
Pm 0.500 0.000 0.000
Ti 0.000 0.000 0.605
Cd 0.500 0.500 0.548
O 0.000 0.000 0.252
O 0.234 0.234 0.746
O 0.234 0.766 0.746
O 0.500 0.500 0.143
O 0.766 0.234 0.746
O 0.766 0.766 0.746


No. 3
The following is a DFT calculation (PBE) of a geometry-optimized Pm2TlCdO6 structure.

Results
The total energy is -62.1 eV for the cell shown. For the raw formation energy, the calculation gives -1.953 eV/atom. Its space group is R3.

Lattice parameters (Å, degrees): 6.171 6.171 6.171 57.35 57.35 57.35
Sites, in units of the cell vectors:
Pm 0.000 0.000 0.000
Pm 0.499 0.499 0.499
Tl 0.281 0.281 0.281
Cd 0.781 0.781 0.781
O 0.091 0.669 0.401
O 0.170 0.587 0.905
O 0.401 0.091 0.669
O 0.587 0.905 0.170
O 0.669 0.401 0.091
O 0.905 0.170 0.587


No. 4
The following is a DFT calculation (PBE) of a geometry-optimized PmTl4CdO8 structure.

Results
The total energy is -71.2 eV for the cell shown. For the raw formation energy, the calculation gives -1.173 eV/atom. Its space group is R3m.

Lattice parameters (Å, degrees): 6.933 6.933 6.933 59.64 59.64 59.64
Sites, in units of the cell vectors:
Pm 0.000 0.000 0.000
Tl 0.000 0.000 0.504
Tl 0.000 0.504 0.000
Tl 0.377 0.377 0.377
Tl 0.504 0.000 0.000
Cd 0.623 0.623 0.623
O 0.224 0.760 0.760
O 0.238 0.238 0.238
O 0.244 0.244 0.780
O 0.244 0.780 0.244
O 0.760 0.224 0.760
O 0.760 0.760 0.224
O 0.762 0.762 0.762
O 0.780 0.244 0.244


No. 5
The following is a DFT calculation (PBE) of a geometry-optimized Pm2TmCdO structure.

Results
The total energy is -26.3 eV for the cell shown. For the raw formation energy, the calculation gives -1.299 eV/atom. Its space group is P4/mmm.

Lattice parameters (Å, degrees): 4.973 4.973 4.670 90.00 90.00 90.00
Sites, in units of the cell vectors:
Pm 0.000 0.500 0.000
Pm 0.500 0.000 0.000
Tm 0.000 0.000 0.500
Cd 0.500 0.500 0.500
O 0.000 0.000 0.000